[1]
MgAuO2 | Alexandria | PBEsol | relaxed; energy relative to the elements, uncorrected = -1.366 eV per atom; energy = -5.40 eV/atom; SG = No. 65
1.0
3.036 0.000 0.000
0.000 5.649 0.000
0.000 -2.824 5.573
O Mg Au
4 2 2
Cartesian
0.000 2.824 2.083
1.518 0.000 1.312
0.000 0.000 3.490
1.518 2.824 4.261
1.518 1.412 2.787
1.518 -1.412 2.787
0.000 0.000 0.000
0.000 2.824 0.000

***

[2]
LiScPt2 | Alexandria | PBEsol | relaxed; ΔH_f (0 K) = -923 meV/atom; energy = -6.55 eV/atom; polymorph energy (0 for the lowest one) = 35.8 meV per atom; SG = No. 225
1.0
-1.322 -2.767 -3.178
2.906 -2.727 -1.904
-0.198 -4.340 0.792
Pt Li Sc
2 1 1
Cartesian
1.040 -7.375 -3.217
0.347 -2.458 -1.072
0.000 0.000 0.000
0.693 -4.917 -2.145